Entry 1:
Nd3Er3CoTe2 | PBE-GGA | optimized geometry

Unit cell a=8.4708 b=8.4708 c=4.0211 alpha=90.00 beta=90.00 gamma=120.00
Atoms (fractional coordinates):
Co (0.0000, 0.0000, 0.0000)
Er (0.2297, 0.0000, 0.5000)
Er (0.0000, 0.2297, 0.5000)
Er (0.7703, 0.7703, 0.5000)
Nd (0.5971, 0.0000, 0.0000)
Nd (0.4029, 0.4029, 0.0000)
Nd (0.0000, 0.5971, 0.0000)
Te (0.6667, 0.3333, 0.5000)
Te (0.3333, 0.6667, 0.5000)

Mass density, Mg/m³: 8.30
Space-group type: P-62m (189)
Excess energy over the best structure of this formula in the dataset, eV/f.u.: 0.00
Crystal system: hexagonal

***

Entry 2:
Nd3Er3CoTe2 | PBE-GGA | optimized geometry

Unit cell a=4.0016 b=8.4461 c=8.4461 alpha=120.00 beta=90.00 gamma=90.00
Atoms (fractional coordinates):
Co (0.0000, 0.0007, 0.0007)
Er (0.5000, 0.7690, 0.0001)
Er (0.5000, 0.2307, 0.2307)
Er (0.5000, 0.0001, 0.7690)
Nd (0.0000, 0.4034, 0.0000)
Nd (0.0000, 0.0000, 0.4034)
Nd (0.0000, 0.5963, 0.5963)
Te (0.5000, 0.6664, 0.3333)
Te (0.5000, 0.3333, 0.6664)

Mass density, Mg/m³: 8.39
Space-group type: Amm2 (38)
Excess energy over the best structure of this formula in the dataset, eV/f.u.: 0.00
Crystal system: orthorhombic

***

Entry 3:
Nd3Er3CoTe2 | PBE-GGA | optimized geometry

Unit cell a=8.5497 b=8.5497 c=3.8639 alpha=90.00 beta=90.00 gamma=120.00
Last column: magnetic moment on the atom in μB.
Atoms (fractional coordinates):
Co (0.0000, 0.0000, 0.0000)  0.04
Er (0.5945, 0.0000, 0.0000)  0.05
Er (0.4055, 0.4055, 0.0000)  0.05
Er (0.0000, 0.5945, 0.0000)  0.04
Nd (0.2408, 0.0000, 0.5000)  0.02
Nd (0.0000, 0.2408, 0.5000)  0.01
Nd (0.7592, 0.7592, 0.5000)  0.02
Te (0.6667, 0.3333, 0.5000)  0.00
Te (0.3333, 0.6667, 0.5000)  0.00

Mass density, Mg/m³: 8.48
Space-group type: P-62m (189)
Excess energy over the best structure of this formula in the dataset, eV/f.u.: 1.11
Crystal system: hexagonal

***

Entry 4:
Nd3YEr2CoTe2 | PBE-GGA | optimized geometry

Unit cell a=4.0292 b=8.4633 c=8.4633 alpha=120.05 beta=90.00 gamma=90.00
Atoms (fractional coordinates):
Co (0.0000, 0.9955, 0.9955)
Er (0.5000, 0.9999, 0.7712)
Er (0.5000, 0.7712, 0.9999)
Nd (0.0000, 0.9991, 0.4032)
Nd (0.0000, 0.5989, 0.5989)
Nd (0.0000, 0.4032, 0.9991)
Te (0.5000, 0.6667, 0.3332)
Te (0.5000, 0.3332, 0.6667)
Y (0.5000, 0.2322, 0.2322)

Mass density, Mg/m³: 7.78
Space-group type: Amm2 (38)
Crystal system: orthorhombic
Uncorrected energy, eV/atom: -5.518

***

Entry 5:
NdY2Er3CoTe2 | PBE-GGA | optimized geometry

Unit cell a=3.9580 b=8.3482 c=8.3482 alpha=119.75 beta=90.00 gamma=90.00
Atoms (fractional coordinates):
Co (0.0000, 0.0165, 0.0165)
Er (0.5000, 0.2345, 0.2345)
Er (0.5000, 0.9964, 0.7674)
Er (0.5000, 0.7674, 0.9964)
Nd (0.0000, 0.5924, 0.5924)
Te (0.5000, 0.6695, 0.3270)
Te (0.5000, 0.3270, 0.6695)
Y (0.0000, 0.3950, 0.0012)
Y (0.0000, 0.0012, 0.3950)

Mass density, Mg/m³: 7.89
Space-group type: Amm2 (38)
Crystal system: orthorhombic
Uncorrected energy, eV/atom: -5.675

***

Entry 6:
Er3CoNi8 | PBE-GGA | optimized geometry

Unit cell a=8.5577 b=8.5577 c=8.5577 alpha=33.30 beta=33.30 gamma=33.30
Last column: magnetic moment on the atom in μB.
Atoms (fractional coordinates):
Co (0.5000, 0.5000, 0.5000)  0.73
Er (0.0000, 0.0000, 0.0000)  -0.04
Er (0.1397, 0.1397, 0.1397)  -0.10
Er (0.8603, 0.8603, 0.8603)  -0.10
Ni (0.5828, 0.5828, 0.0816)  0.17
Ni (0.3333, 0.3333, 0.3333)  0.09
Ni (0.9184, 0.4172, 0.4172)  0.16
Ni (0.4172, 0.9184, 0.4172)  0.20
Ni (0.5828, 0.0816, 0.5828)  0.20
Ni (0.0816, 0.5828, 0.5828)  0.16
Ni (0.6667, 0.6667, 0.6667)  0.09
Ni (0.4172, 0.4172, 0.9184)  0.17

Mass density, Mg/m³: 10.17
Space-group type: R-3m (166)
Formation energy from the elements, meV/atom: -400
Crystal system: trigonal

***

Entry 7:
Er3Co2Ni7 | PBE-GGA | optimized geometry

Unit cell a=8.5573 b=8.5573 c=8.5573 alpha=33.40 beta=33.40 gamma=33.40
Last column: magnetic moment on the atom in μB.
Atoms (fractional coordinates):
Co (0.3333, 0.3333, 0.3333)  1.41
Co (0.6667, 0.6667, 0.6667)  1.41
Er (0.0000, 0.0000, 0.0000)  -0.13
Er (0.1388, 0.1388, 0.1388)  -0.10
Er (0.8612, 0.8612, 0.8612)  -0.10
Ni (0.5821, 0.5821, 0.0809)  0.24
Ni (0.9191, 0.4179, 0.4179)  0.24
Ni (0.4179, 0.9191, 0.4179)  0.27
Ni (0.5000, 0.5000, 0.5000)  0.03
Ni (0.5821, 0.0809, 0.5821)  0.27
Ni (0.0809, 0.5821, 0.5821)  0.24
Ni (0.4179, 0.4179, 0.9191)  0.24

Mass density, Mg/m³: 10.12
Space-group type: R-3m (166)
Formation energy from the elements, meV/atom: -374
Crystal system: trigonal

***

Entry 8:
ErCoNi | PBE-GGA | optimized geometry

Unit cell a=6.6503 b=3.9016 c=7.3441 alpha=90.00 beta=90.00 gamma=90.00
Last column: magnetic moment on the atom in μB.
Atoms (fractional coordinates):
Co (0.8628, 0.2500, 0.0589)  1.29
Co (0.3628, 0.2500, 0.4411)  1.29
Co (0.6372, 0.7500, 0.5589)  1.29
Co (0.1372, 0.7500, 0.9411)  1.29
Er (0.5239, 0.7500, 0.1881)  -0.17
Er (0.0239, 0.7500, 0.3119)  -0.17
Er (0.9761, 0.2500, 0.6881)  -0.17
Er (0.4761, 0.2500, 0.8119)  -0.17
Ni (0.2278, 0.2500, 0.1182)  0.31
Ni (0.7278, 0.2500, 0.3818)  0.31
Ni (0.2722, 0.7500, 0.6182)  0.31
Ni (0.7722, 0.7500, 0.8818)  0.31

Mass density, Mg/m³: 9.93
Space-group type: Pnma (62)
Formation energy from the elements, meV/atom: -212
Crystal system: orthorhombic

***

Entry 9:
ErCoNi | PBE-GGA | optimized geometry

Unit cell a=4.2166 b=4.2166 c=4.2166 alpha=60.00 beta=60.00 gamma=60.00
Last column: magnetic moment on the atom in μB.
Atoms (fractional coordinates):
Co (0.2500, 0.2500, 0.2500)  1.29
Er (0.7500, 0.7500, 0.7500)  -0.17
Ni (0.0000, 0.0000, 0.0000)  0.24

Mass density, Mg/m³: 8.92
Space-group type: F-43m (216)
Formation energy from the elements, meV/atom: 126
Crystal system: cubic

***

Entry 10:
ErCoNi2 | PBE-GGA | optimized geometry

Unit cell a=8.5724 b=8.5724 c=8.5724 alpha=33.24 beta=33.24 gamma=33.24
Last column: magnetic moment on the atom in μB.
Atoms (fractional coordinates):
Co (0.3331, 0.3331, 0.3331)  1.41
Co (0.5000, 0.5000, 0.5000)  0.70
Co (0.6669, 0.6669, 0.6669)  1.41
Er (0.0000, 0.0000, 0.0000)  -0.13
Er (0.1393, 0.1393, 0.1393)  -0.16
Er (0.8607, 0.8607, 0.8607)  -0.16
Ni (0.5814, 0.5814, 0.0828)  0.27
Ni (0.9172, 0.4186, 0.4186)  0.28
Ni (0.4186, 0.9172, 0.4186)  0.31
Ni (0.5814, 0.0828, 0.5814)  0.31
Ni (0.0828, 0.5814, 0.5814)  0.28
Ni (0.4186, 0.4186, 0.9172)  0.27

Mass density, Mg/m³: 10.16
Space-group type: R-3m (166)
Formation energy from the elements, meV/atom: -329
Crystal system: trigonal

***

Entry 11:
ErCoSi2Ni | PBE-GGA | optimized geometry

Unit cell a=5.5330 b=5.5330 c=5.5330 alpha=138.76 beta=138.76 gamma=59.75
Last column: magnetic moment on the atom in μB.
Atoms (fractional coordinates):
Co (0.0000, 0.0000, 0.0000)  0.58
Er (0.7500, 0.2500, 0.5000)  0.03
Ni (0.5000, 0.5000, 0.0000)  0.20
Si (0.1245, 0.6245, 0.5000)  0.00
Si (0.3755, 0.8755, 0.5000)  0.00

Mass density, Mg/m³: 7.77
Space-group type: I-4m2 (119)
Crystal system: tetragonal
Uncorrected energy, eV/atom: -6.439

***

Entry 12:
Er2TlCoNi | PBE-GGA | optimized geometry

Unit cell a=3.7322 b=7.3646 c=7.3646 alpha=30.26 beta=90.00 gamma=90.00
Last column: magnetic moment on the atom in μB.
Atoms (fractional coordinates):
Co (0.0000, 0.7976, 0.7976)  0.53
Er (0.5000, 0.3601, 0.3601)  -0.07
Er (0.5000, 0.6416, 0.6416)  -0.04
Ni (0.0000, 0.2015, 0.2015)  0.12
Tl (0.0000, 0.9991, 0.9991)  0.00

Mass density, Mg/m³: 10.69
Space-group type: Amm2 (38)
Crystal system: orthorhombic
Uncorrected energy, eV/atom: -5.211